Density functional theory data (PBE) for a geometry-optimized Ba4Zr3S10 structure.

Cell lengths 18.260, 18.260, 18.260 Å; angles 164.14, 164.14, 22.50 degrees
Fractional coordinates of all 17 atoms:
Ba 0.067 0.067 0.000
Ba 0.200 0.200 0.000
Ba 0.800 0.800 0.000
Ba 0.933 0.933 0.000
Zr 0.357 0.357 0.000
Zr 0.500 0.500 0.000
Zr 0.643 0.643 0.000
S 0.000 0.500 0.500
S 0.139 0.639 0.500
S 0.287 0.287 0.000
S 0.361 0.861 0.500
S 0.429 0.429 0.000
S 0.500 0.000 0.500
S 0.571 0.571 0.000
S 0.639 0.139 0.500
S 0.713 0.713 0.000
S 0.861 0.361 0.500

---

Density functional theory data (PBE) for a geometry-optimized BaSmSb structure.

Computed properties:
E above lowest polymorph = 0.0 meV/atom

Cell lengths 5.394, 5.394, 5.394 Å; angles 60.00, 60.00, 60.00 degrees
Fractional coordinates of all 3 atoms:
Ba 0.000 0.000 0.000
Sm 0.250 0.250 0.250
Sb 0.500 0.500 0.500

---

Density functional theory data (PBE) for a geometry-optimized BaZnSnSb2 structure.

Cell lengths 9.174, 9.174, 7.340 Å; angles 90.00, 90.00, 149.12 degrees
Fractional coordinates of all 10 atoms:
Ba 0.190 0.810 0.500
Ba 0.810 0.190 0.000
Zn 0.400 0.600 0.383
Zn 0.600 0.400 0.883
Sn 0.017 0.983 0.209
Sn 0.983 0.017 0.709
Sb 0.163 0.837 0.994
Sb 0.450 0.550 0.008
Sb 0.550 0.450 0.508
Sb 0.837 0.163 0.494

---

What are the E_tot values for these records? In order: -6.2194 -3.6988 -3.5321 eV/atom.